InTe2Ru after structural relaxation, computed with GGA-PBE.

Cell: 4.5774 4.5774 8.5996 Å, 90.00 90.00 90.00°
Space group I-4m2 (No. 119)
Asymmetric unit:
In1 0.0000 0.0000 0.0000 x2
Te1 0.0000 0.0000 0.5000 x2
Te2 0.0000 0.5000 0.2500 x2
Ru1 0.0000 0.5000 0.7500 x2

energy relative to the elements, uncorrected = 2.188 eV/f.u.

In2TeRu after structural relaxation, computed with GGA-PBE.

Cell: 5.0128 3.5996 5.0652 Å, 90.00 108.01 90.00°
Space group P2/m (No. 10)
Asymmetric unit:
In1 0.0000 0.0000 0.0000 x1
In2 0.5000 0.5000 0.0000 x1
Te1 0.0000 0.5000 0.5000 x1
Ru1 0.5000 0.0000 0.5000 x1

energy relative to the elements, uncorrected = 1.486 eV/f.u.

InTe2Ru after structural relaxation, computed with GGA-PBE.

Cell: 7.1237 7.1237 7.1237 Å, 90.00 90.00 90.00°
Space group F-43m (No. 216)
Asymmetric unit:
In1 0.0000 0.0000 0.0000 x4
Te1 0.0000 0.0000 0.5000 x4
Te2 0.2500 0.2500 0.7500 x4
Ru1 0.2500 0.2500 0.2500 x4

energy relative to the elements, uncorrected = 2.498 eV/f.u.